1.
# RbU2S7 | Alexandria via LeMat-Bulk | PBE-GGA | relaxed
# Formation energy (no corrections) ... -1.0145 eV/atom
# D(E_F) ... 3.645 states/eV/f.u.
data_RbU2S7
_chemical_formula_sum 'Rb2 U4 S14'
_symmetry_space_group_name_H-M 'C m m m'
_symmetry_Int_Tables_number 65
_symmetry_space_group_name_Hall '-C 2 2'
_cell_length_a 7.9952
_cell_length_b 12.7882
_cell_length_c 5.1505
_cell_angle_alpha 90.00
_cell_angle_beta 90.00
_cell_angle_gamma 90.00
loop_
_atom_site_label
_atom_site_type_symbol
_atom_site_fract_x
_atom_site_fract_y
_atom_site_fract_z
_atom_site_occupancy
Rb1 Rb 0.0000 0.0000 0.0000 1
U1 U 0.0000 0.2954 0.5000 1
S1 S 0.0000 0.2923 0.0000 1
S2 S 0.0000 0.5000 0.5000 1
S3 S 0.1978 0.1298 0.5000 1

***

2.
# Rb3U2S9 | Alexandria via LeMat-Bulk | PBE-GGA | relaxed
# Formation energy (no corrections) ... -0.9195 eV/atom
# D(E_F) ... 10.151 states/eV/f.u.
data_Rb3U2S9
_chemical_formula_sum 'Rb3 U2 S9'
_symmetry_space_group_name_H-M 'P -3 m 1'
_symmetry_Int_Tables_number 164
_symmetry_space_group_name_Hall '-P 3 2"'
_cell_length_a 7.3043
_cell_length_b 7.3043
_cell_length_c 9.0058
_cell_angle_alpha 90.00
_cell_angle_beta 90.00
_cell_angle_gamma 120.00
loop_
_atom_site_label
_atom_site_type_symbol
_atom_site_fract_x
_atom_site_fract_y
_atom_site_fract_z
_atom_site_occupancy
Rb1 Rb 0.0000 0.0000 0.0000 1
Rb2 Rb 0.3333 0.6667 0.3483 1
U1 U 0.3333 0.6667 0.8275 1
S1 S 0.0000 0.5000 0.0000 1
S2 S 0.1714 0.3428 0.6757 1

***

3.
# Rb2US5 | Alexandria via LeMat-Bulk | PBE-GGA | relaxed
# Formation energy (no corrections) ... -0.9746 eV/atom
data_Rb2US5
_chemical_formula_sum 'Rb2 U1 S5'
_symmetry_space_group_name_H-M 'P 1'
_symmetry_Int_Tables_number 1
_cell_length_a 5.2931
_cell_length_b 6.3571
_cell_length_c 9.2421
_cell_angle_alpha 110.03
_cell_angle_beta 106.43
_cell_angle_gamma 90.04
loop_
_symmetry_equiv_pos_as_xyz
'x,y,z'
loop_
_atom_site_label
_atom_site_type_symbol
_atom_site_fract_x
_atom_site_fract_y
_atom_site_fract_z
_atom_site_occupancy
Rb1 Rb 0.0000 0.0000 0.0000 1
Rb2 Rb 0.2566 0.2574 0.5197 1
U1 U 0.7172 0.7176 0.4403 1
S1 S 0.2067 0.7069 0.4186 1
S2 S 0.6141 0.2803 0.2326 1
S3 S 0.6153 0.9475 0.2319 1
S4 S 0.8239 0.0811 0.6563 1
S5 S 0.8250 0.5713 0.6572 1

***

4.
# RbU6S8 | Alexandria via LeMat-Bulk | PBE-GGA | relaxed
# Formation energy (no corrections) ... -1.0623 eV/atom
# D(E_F) ... 16.119 states/eV/f.u.
data_RbU6S8
_chemical_formula_sum 'Rb3 U18 S24'
_symmetry_space_group_name_H-M 'R -3'
_symmetry_Int_Tables_number 148
_symmetry_space_group_name_Hall '-R 3'
_cell_length_a 11.1912
_cell_length_b 11.1912
_cell_length_c 12.1473
_cell_angle_alpha 90.00
_cell_angle_beta 90.00
_cell_angle_gamma 120.00
loop_
_atom_site_label
_atom_site_type_symbol
_atom_site_fract_x
_atom_site_fract_y
_atom_site_fract_z
_atom_site_occupancy
Rb1 Rb 0.0000 0.0000 0.0000 1
U1 U 0.0439 0.1975 0.4353 1
S1 S 0.0000 0.0000 0.2895 1
S2 S 0.0026 0.6833 0.3834 1

***

5.
# RbU4S8 | Alexandria via LeMat-Bulk | PBE-GGA | relaxed
# Formation energy (no corrections) ... -1.3352 eV/atom
# D(E_F) ... 27.995 states/eV/f.u.
data_RbU4S8
_chemical_formula_sum 'Rb4 U16 S32'
_symmetry_space_group_name_H-M 'F -4 3 m'
_symmetry_Int_Tables_number 216
_symmetry_space_group_name_Hall 'F -4 2 3'
_cell_length_a 11.7468
_cell_length_b 11.7468
_cell_length_c 11.7468
_cell_angle_alpha 90.00
_cell_angle_beta 90.00
_cell_angle_gamma 90.00
loop_
_atom_site_label
_atom_site_type_symbol
_atom_site_fract_x
_atom_site_fract_y
_atom_site_fract_z
_atom_site_occupancy
Rb1 Rb 0.0000 0.0000 0.0000 1
U1 U 0.1231 0.1231 0.6231 1
S1 S 0.1082 0.1082 0.3918 1
S2 S 0.1471 0.1471 0.8529 1

***

6.
# RbUS4 | Alexandria via LeMat-Bulk | PBE-GGA | relaxed
# Formation energy (no corrections) ... -1.0565 eV/atom
# D(E_F) ... 4.952 states/eV/f.u.
data_RbUS4
_chemical_formula_sum 'Rb4 U4 S16'
_symmetry_space_group_name_H-M 'C 1 2/c 1'
_symmetry_Int_Tables_number 15
_cell_length_a 8.2277
_cell_length_b 14.0425
_cell_length_c 7.2930
_cell_angle_alpha 90.00
_cell_angle_beta 90.03
_cell_angle_gamma 90.00
loop_
_symmetry_equiv_pos_as_xyz
'x,y,z'
'-x,-y,-z'
'-x,y,-z+1/2'
'x,-y,z+1/2'
'x+1/2,y+1/2,z'
'-x+1/2,-y+1/2,-z'
'-x+1/2,y+1/2,-z+1/2'
'x+1/2,-y+1/2,z+1/2'
loop_
_atom_site_label
_atom_site_type_symbol
_atom_site_fract_x
_atom_site_fract_y
_atom_site_fract_z
_atom_site_occupancy
Rb1 Rb 0.0000 0.1430 0.2500 1
U1 U 0.0000 0.4484 0.7500 1
S1 S 0.0895 0.2768 0.8500 1
S2 S 0.2063 0.4841 0.4887 1

***

7.
# Rb5US6 | Alexandria via LeMat-Bulk | PBE-GGA | relaxed
# Formation energy (no corrections) ... -1.1687 eV/atom
# D(E_F) ... 12.096 states/eV/f.u.
data_Rb5US6
_chemical_formula_sum 'Rb10 U2 S12'
_symmetry_space_group_name_H-M 'C 1 2/m 1'
_symmetry_Int_Tables_number 12
_cell_length_a 8.0713
_cell_length_b 13.8429
_cell_length_c 7.8930
_cell_angle_alpha 90.00
_cell_angle_beta 110.59
_cell_angle_gamma 90.00
loop_
_symmetry_equiv_pos_as_xyz
'x,y,z'
'-x,-y,-z'
'-x,y,-z'
'x,-y,z'
'x+1/2,y+1/2,z'
'-x+1/2,-y+1/2,-z'
'-x+1/2,y+1/2,-z'
'x+1/2,-y+1/2,z'
loop_
_atom_site_label
_atom_site_type_symbol
_atom_site_fract_x
_atom_site_fract_y
_atom_site_fract_z
_atom_site_occupancy
Rb1 Rb 0.0000 0.0000 0.0000 1
Rb2 Rb 0.0000 0.1662 0.5000 1
Rb3 Rb 0.0000 0.3287 0.0000 1
U1 U 0.0000 0.5000 0.5000 1
S1 S 0.1918 0.5000 0.3008 1
S2 S 0.1992 0.3680 0.7043 1

***

8.
# RbU2S4 | Alexandria via LeMat-Bulk | PBE-GGA | relaxed
# Formation energy (no corrections) ... -1.3809 eV/atom
# D(E_F) ... 11.224 states/eV/f.u.
data_RbU2S4
_chemical_formula_sum 'Rb4 U8 S16'
_symmetry_space_group_name_H-M 'C m c m'
_symmetry_Int_Tables_number 63
_symmetry_space_group_name_Hall '-C 2c 2'
_cell_length_a 4.0332
_cell_length_b 13.3682
_cell_length_c 13.8372
_cell_angle_alpha 90.00
_cell_angle_beta 90.00
_cell_angle_gamma 90.00
loop_
_atom_site_label
_atom_site_type_symbol
_atom_site_fract_x
_atom_site_fract_y
_atom_site_fract_z
_atom_site_occupancy
Rb1 Rb 0.0000 0.1078 0.2500 1
U1 U 0.0000 0.3669 0.0643 1
S1 S 0.0000 0.0000 0.0000 1
S2 S 0.0000 0.2616 0.6036 1
S3 S 0.0000 0.4168 0.2500 1

***

9.
# Rb3U2S8 | Alexandria via LeMat-Bulk | PBE-GGA | relaxed
# Formation energy (no corrections) ... -0.9741 eV/atom
# D(E_F) ... 8.015 states/eV/f.u.
data_Rb3U2S8
_chemical_formula_sum 'Rb6 U4 S16'
_symmetry_space_group_name_H-M 'C m m m'
_symmetry_Int_Tables_number 65
_symmetry_space_group_name_Hall '-C 2 2'
_cell_length_a 8.4813
_cell_length_b 15.5466
_cell_length_c 5.4772
_cell_angle_alpha 90.00
_cell_angle_beta 90.00
_cell_angle_gamma 90.00
loop_
_atom_site_label
_atom_site_type_symbol
_atom_site_fract_x
_atom_site_fract_y
_atom_site_fract_z
_atom_site_occupancy
Rb1 Rb 0.0000 0.0000 0.0000 1
Rb2 Rb 0.1957 0.5000 0.5000 1
U1 U 0.0000 0.2399 0.0000 1
S1 S 0.0000 0.1261 0.5000 1
S2 S 0.0000 0.2596 0.5000 1
S3 S 0.2219 0.3560 0.0000 1

***

10.
# RbU2S4 | Alexandria via LeMat-Bulk | PBE-GGA | relaxed
# Formation energy (no corrections) ... -1.4278 eV/atom
# D(E_F) ... 7.634 states/eV/f.u.
data_RbU2S4
_chemical_formula_sum 'Rb1 U2 S4'
_symmetry_space_group_name_H-M 'P 1 2/m 1'
_symmetry_Int_Tables_number 10
_cell_length_a 6.8886
_cell_length_b 4.0387
_cell_length_c 8.3351
_cell_angle_alpha 90.00
_cell_angle_beta 106.40
_cell_angle_gamma 90.00
loop_
_symmetry_equiv_pos_as_xyz
'x,y,z'
'-x,-y,-z'
'-x,y,-z'
'x,-y,z'
loop_
_atom_site_label
_atom_site_type_symbol
_atom_site_fract_x
_atom_site_fract_y
_atom_site_fract_z
_atom_site_occupancy
Rb1 Rb 0.0000 0.0000 0.0000 1
U1 U 0.0000 0.5000 0.5000 1
U2 U 0.5000 0.0000 0.5000 1
S1 S 0.2261 0.0000 0.6808 1
S2 S 0.2708 0.5000 0.3150 1

***

11.
# Rb4U3S10 | Alexandria via LeMat-Bulk | PBE-GGA | relaxed
# Formation energy (no corrections) ... -1.3255 eV/atom
# D(E_F) ... 11.243 states/eV/f.u.
data_Rb4U3S10
_chemical_formula_sum 'Rb8 U6 S20'
_symmetry_space_group_name_H-M 'I 4/m m m'
_symmetry_Int_Tables_number 139
_symmetry_space_group_name_Hall '-I 4 2'
_cell_length_a 5.2192
_cell_length_b 5.2192
_cell_length_c 37.5080
_cell_angle_alpha 90.00
_cell_angle_beta 90.00
_cell_angle_gamma 90.00
loop_
_atom_site_label
_atom_site_type_symbol
_atom_site_fract_x
_atom_site_fract_y
_atom_site_fract_z
_atom_site_occupancy
Rb1 Rb 0.0000 0.0000 0.0691 1
Rb2 Rb 0.0000 0.0000 0.2034 1
U1 U 0.0000 0.0000 0.3604 1
U2 U 0.0000 0.0000 0.5000 1
S1 S 0.0000 0.0000 0.2950 1
S2 S 0.0000 0.0000 0.4307 1
S3 S 0.0000 0.5000 0.0000 1
S4 S 0.0000 0.5000 0.1376 1

***

12.
# Rb2U3S6 | Alexandria via LeMat-Bulk | PBE-GGA | relaxed
# Formation energy (no corrections) ... -1.4180 eV/atom
# D(E_F) ... 12.144 states/eV/f.u.
data_Rb2U3S6
_chemical_formula_sum 'Rb4 U6 S12'
_symmetry_space_group_name_H-M 'C 1 2/m 1'
_symmetry_Int_Tables_number 12
_cell_length_a 6.9610
_cell_length_b 12.0540
_cell_length_c 8.2499
_cell_angle_alpha 90.00
_cell_angle_beta 106.30
_cell_angle_gamma 90.00
loop_
_symmetry_equiv_pos_as_xyz
'x,y,z'
'-x,-y,-z'
'-x,y,-z'
'x,-y,z'
'x+1/2,y+1/2,z'
'-x+1/2,-y+1/2,-z'
'-x+1/2,y+1/2,-z'
'x+1/2,-y+1/2,z'
loop_
_atom_site_label
_atom_site_type_symbol
_atom_site_fract_x
_atom_site_fract_y
_atom_site_fract_z
_atom_site_occupancy
Rb1 Rb 0.0000 0.1669 0.0000 1
U1 U 0.0000 0.0000 0.5000 1
U2 U 0.0000 0.3344 0.5000 1
S1 S 0.2281 0.1675 0.6870 1
S2 S 0.2309 0.5000 0.6881 1

***

Q: What is the formula in the fifth record?
A: RbU4S8